[1]
## CdAgN3 (PBE)

Data for a relaxed structure of CdAgN3.

Cell and atoms, written as POSCAR:
```
CdAgN3
1.0
-1.181 -1.838 3.482
-0.459 -3.546 -2.027
3.910 -0.971 0.814
N Ag Cd
3 1 1
Cartesian
-0.229 -1.773 -1.014 N
1.955 -0.486 0.407 N
-0.590 -0.919 1.741 N
0.000 0.000 0.000 Ag
1.135 -3.178 1.134 Cd
```

Calculated values
ΔE_f (raw) in eV/f.u.: 11.2
E_tot in eV per atom: -3.504
Crystal system: cubic

---

[2]
## CdAg3N (PBE)

Data for a relaxed structure of CdAg3N.

Cell and atoms, written as POSCAR:
```
CdAg3N
1.0
-1.641 0.965 -4.043
-3.815 -2.075 1.053
-1.650 3.838 1.586
N Ag Cd
1 3 1
Cartesian
0.000 0.000 0.000 N
-1.907 -1.037 0.527 Ag
-0.825 1.919 0.793 Ag
-0.821 0.483 -2.021 Ag
-3.553 1.364 -0.702 Cd
```

Calculated values
ΔE_f (raw) in eV/f.u.: 2.8
Energy above the most stable polymorph in this dataset in meV/atom: 0.0
E_tot in eV per atom: -2.995
Crystal system: cubic

---

[3]
## Cd2AgN (PBE)

Data for a relaxed structure of Cd2AgN.

Cell and atoms, written as POSCAR:
```
Cd2AgN
1.0
6.068 0.000 0.000
0.000 6.068 0.000
3.034 3.034 5.006
N Ag Cd
2 2 4
Cartesian
3.034 3.034 0.000 N
3.034 6.068 2.503 N
0.000 0.000 0.000 Ag
6.068 3.034 2.503 Ag
3.918 1.517 1.251 Cd
2.150 4.551 1.251 Cd
4.551 5.184 3.754 Cd
7.585 6.953 3.754 Cd
```

Calculated values
ΔE_f (raw) in eV/f.u.: 2.3
E_tot in eV per atom: -2.685
Crystal system: tetragonal